Entry 1:
ScWO2F | PBE with a Hubbard U | relaxed

## Properties
- Spin magnetization: 3.99 μB/f.u.
- Energy: -34.11 eV for the cell shown

POSCAR file:
```
ScWO2F
1.0
-3.525 -0.769 -2.031
2.172 -1.223 -3.306
0.014 -3.714 1.383
O W Sc F
2 1 1 1
Cartesian
-1.762 -0.384 -1.016
1.086 -0.611 -1.653
-0.670 -2.853 -1.977
0.000 0.000 0.000
0.007 -1.857 0.691
```


Entry 2:
ScWO2F | PBE with a Hubbard U | relaxed

## Properties
- Spin magnetization: 3.94 μB/f.u.
- Energy: -33.29 eV for the cell shown

POSCAR file:
```
ScWO2F
1.0
-0.396 0.484 4.139
-0.220 -4.155 0.465
4.096 -0.171 0.412
O W Sc F
2 1 1 1
Cartesian
-0.110 -2.077 0.233
-0.198 0.242 2.070
0.000 0.000 0.000
1.740 -1.921 2.508
2.048 -0.086 0.206
```